VASP calculation (PBE) on a relaxed structure of BaTiMo2.

Values from the calculation:
DOS(E_F) ... 6.334 states/eV/f.u.
Crystal system ... tetragonal
M_tot ... 0.00 Bohr magnetons per cell
Distance to the lowest polymorph of the same formula ... 0.055 eV per atom
Calculated total energy ... -6.659 eV per atom
Energy relative to the elements ... 1.211 eV/atom

a = 4.9974 Å, b = 4.9974 Å, c = 17.9103 Å
α = 90.00°, β = 90.00°, γ = 90.00°
Space group I4_1/amd (No. 141, origin choice 2)
Inequivalent atoms, fractional coordinates:
Ba  0.0000  0.2500  0.3750 (multiplicity 4)
Ti  0.0000  0.2500  0.8750 (multiplicity 4)
Mo  0.0000  0.0000  0.0000 (multiplicity 8)

VASP calculation (PBE) on a relaxed structure of BaTiMo2.

Values from the calculation:
DOS(E_F) ... 6.752 states/eV/f.u.
Crystal system ... cubic
M_tot ... 0.00 Bohr magnetons per cell
Distance to the lowest polymorph of the same formula ... 0.000 eV per atom
Calculated total energy ... -6.714 eV per atom
Energy relative to the elements ... 1.156 eV/atom

a = 6.8177 Å, b = 6.8177 Å, c = 6.8177 Å
α = 90.00°, β = 90.00°, γ = 90.00°
Space group Fm-3m (No. 225)
Inequivalent atoms, fractional coordinates:
Ba  0.0000  0.0000  0.0000 (multiplicity 4)
Ti  0.0000  0.0000  0.5000 (multiplicity 4)
Mo  0.2500  0.2500  0.2500 (multiplicity 8)

VASP calculation (PBE) on a relaxed structure of Ba2TiMo.

Values from the calculation:
DOS(E_F) ... 3.024 states/eV/f.u.
Crystal system ... tetragonal
M_tot ... 0.00 Bohr magnetons per cell
Distance to the lowest polymorph of the same formula ... 0.000 eV per atom
Calculated total energy ... -4.720 eV per atom
Energy relative to the elements ... 0.923 eV/atom

a = 12.5130 Å, b = 12.5130 Å, c = 4.5653 Å
α = 90.00°, β = 90.00°, γ = 90.00°
Space group I-42d (No. 122)
Inequivalent atoms, fractional coordinates:
Ba  0.0555  0.7500  0.1250 (multiplicity 8)
Ti  0.0000  0.0000  0.5000 (multiplicity 4)
Mo  0.0000  0.0000  0.0000 (multiplicity 4)

VASP calculation (PBE) on a relaxed structure of Ba2Ti2Mo.

Values from the calculation:
DOS(E_F) ... 5.429 states/eV/f.u.
Crystal system ... tetragonal
M_tot ... 2.08 Bohr magnetons per cell
Distance to the lowest polymorph of the same formula ... 0.000 eV per atom
Calculated total energy ... -5.345 eV per atom
Energy relative to the elements ... 0.748 eV/atom

a = 6.7160 Å, b = 6.7160 Å, c = 6.1882 Å
α = 90.00°, β = 90.00°, γ = 90.00°
Space group P4/mbm (No. 127)
Inequivalent atoms, fractional coordinates:
Ba  0.1833  0.3167  0.0000 (multiplicity 4)
Ti  0.1654  0.6654  0.5000 (multiplicity 4)
Mo  0.0000  0.0000  0.5000 (multiplicity 2)

VASP calculation (PBE) on a relaxed structure of Ba2Ti2Mo.

Values from the calculation:
DOS(E_F) ... 10.145 states/eV/f.u.
Crystal system ... tetragonal
M_tot ... 0.00 Bohr magnetons per cell
Distance to the lowest polymorph of the same formula ... 0.749 eV per atom
Calculated total energy ... -4.596 eV per atom
Energy relative to the elements ... 1.497 eV/atom

a = 4.2602 Å, b = 4.2602 Å, c = 14.7667 Å
α = 90.00°, β = 90.00°, γ = 90.00°
Space group I4/mmm (No. 139)
Inequivalent atoms, fractional coordinates:
Ba  0.0000  0.5000  0.2500 (multiplicity 4)
Ti  0.0000  0.0000  0.0710 (multiplicity 4)
Mo  0.0000  0.0000  0.5000 (multiplicity 2)

VASP calculation (PBE) on a relaxed structure of Ba2TiMo.

Values from the calculation:
DOS(E_F) ... 4.613 states/eV/f.u.
Crystal system ... cubic
M_tot ... 0.00 Bohr magnetons per cell
Distance to the lowest polymorph of the same formula ... 0.470 eV per atom
Calculated total energy ... -4.250 eV per atom
Energy relative to the elements ... 1.393 eV/atom

a = 7.6504 Å, b = 7.6504 Å, c = 7.6504 Å
α = 90.00°, β = 90.00°, γ = 90.00°
Space group Fm-3m (No. 225)
Inequivalent atoms, fractional coordinates:
Ba  0.2500  0.2500  0.2500 (multiplicity 8)
Ti  0.0000  0.0000  0.0000 (multiplicity 4)
Mo  0.0000  0.0000  0.5000 (multiplicity 4)

VASP calculation (PBE) on a relaxed structure of BaTi2Mo.

Values from the calculation:
DOS(E_F) ... 9.797 states/eV/f.u.
Crystal system ... cubic
M_tot ... 0.00 Bohr magnetons per cell
Calculated total energy ... -6.242 eV per atom
Energy relative to the elements ... 0.893 eV/atom

a = 6.9081 Å, b = 6.9081 Å, c = 6.9081 Å
α = 90.00°, β = 90.00°, γ = 90.00°
Space group Fm-3m (No. 225)
Inequivalent atoms, fractional coordinates:
Ba  0.0000  0.0000  0.0000 (multiplicity 4)
Ti  0.2500  0.2500  0.2500 (multiplicity 8)
Mo  0.0000  0.0000  0.5000 (multiplicity 4)

VASP calculation (PBE) on a relaxed structure of BaY2TiMo.

Values from the calculation:
DOS(E_F) ... 7.279 states/eV/f.u.
Crystal system ... tetragonal
M_tot ... 0.00 Bohr magnetons per cell
Calculated total energy ... -6.273 eV per atom
Energy relative to the elements ... 0.443 eV/atom

a = 5.6650 Å, b = 5.6650 Å, c = 4.8647 Å
α = 90.00°, β = 90.00°, γ = 90.00°
Space group P4/mmm (No. 123)
Inequivalent atoms, fractional coordinates:
Ba  0.0000  0.0000  0.0000 (multiplicity 1)
Y  0.0000  0.5000  0.5000 (multiplicity 2)
Ti  0.5000  0.5000  0.0000 (multiplicity 1)
Mo  0.5000  0.5000  0.5000 (multiplicity 1)